Li2LaY2Tl2 | Alexandria | PBE-GGA | optimized geometry; V = 27.23 Å³/atom; formation enthalpy at 0 K = -0.216 eV per atom; space-group type = R-3m, No. 166; N(E_F) = 0.783 states/eV per atom
1.0
4.901 0.000 0.000
2.451 4.245 0.000
2.451 1.415 9.163
Tl Li Y La
2 2 2 1
Cartesian
2.451 1.415 2.097 Tl
7.352 4.245 7.066 Tl
4.901 2.830 2.083 Li
4.901 2.830 7.080 Li
7.352 4.245 3.543 Y
2.451 1.415 5.619 Y
0.000 0.000 0.000 La